# Rb2NaI6Cl

A relaxed Rb2NaI6Cl crystal (PBE, Alexandria).

Total DFT energy (no corrections): -2.037 eV/atom
V: 46.51 Å³/atom
Calculated density: 3.5 g/cm3
Raw formation energy: -597 meV/atom

```
data_Rb2NaI6Cl
_cell_length_a 8.929
_cell_length_b 8.929
_cell_length_c 11.669
_cell_angle_alpha 90.00
_cell_angle_beta 90.00
_cell_angle_gamma 90.00
_symmetry_space_group_name_H-M 'I 4/m m m'
_symmetry_Int_Tables_number 139
_symmetry_space_group_name_Hall '-I 4 2'
loop_
_atom_site_label
_atom_site_type_symbol
_atom_site_fract_x
_atom_site_fract_y
_atom_site_fract_z
_atom_site_occupancy
Rb1 Rb 0.000 0.500 0.250 1
Na1 Na 0.000 0.000 0.000 1
I1 I 0.000 0.000 0.273 1
I2 I 0.239 0.239 0.000 1
Cl1 Cl 0.000 0.000 0.500 1
```